First-principles (PBE+U) data for a geometry-optimized Ac2FeTcO6 structure, as listed in Alexandria.

Space-group type: R-3m
Crystal system: trigonal
Calculated total energy (eV/f.u.): -77.4

abc: 5.7976 5.7976 9.8792
angles: 72.94 72.94 60.00
Fractional coordinates of all 20 atoms:
O1 0.6318 0.1157 0.6208
O2 0.3682 0.3682 0.3792
O3 0.1157 0.6318 0.6208
O4 0.7222 0.2031 0.8716
O5 0.2031 0.2031 0.8716
Ac1 0.1292 0.1292 0.6125
O6 0.2031 0.7222 0.8716
O7 0.2778 0.7969 0.1284
O8 0.6318 0.6318 0.6208
O9 0.3682 0.8843 0.3792
Fe1 0.4102 0.4102 0.7693
Ac2 0.2828 0.2828 0.1515
O10 0.7969 0.2778 0.1284
O11 0.8843 0.3682 0.3792
Tc1 0.0000 0.0000 0.0000
O12 0.7969 0.7969 0.1284
Ac3 0.7172 0.7172 0.8485
Ac4 0.8708 0.8708 0.3875
Fe2 0.5898 0.5898 0.2307
Tc2 0.5000 0.5000 0.5000